Entry A
## Ac2ZnCd (GGA-PBE)

Data for a relaxed structure of Ac2ZnCd.

Lattice parameters (Å, degrees): 5.6511 5.6511 5.6511 60.00 60.00 60.00
Sites, in units of the cell vectors:
Ac1 0.2500 0.2500 0.2500
Ac2 0.7500 0.7500 0.7500
Zn1 0.0000 0.0000 0.0000
Cd1 0.5000 0.5000 0.5000

***

Entry B
## Ac2ZnCd (GGA-PBE)

Data for a relaxed structure of Ac2ZnCd.

Lattice parameters (Å, degrees): 3.9792 3.9792 8.0366 90.00 90.00 90.00
Sites, in units of the cell vectors:
Ac1 0.0000 0.0000 0.2330
Ac2 0.0000 0.0000 0.7670
Zn1 0.5000 0.5000 0.0000
Cd1 0.5000 0.5000 0.5000

***

Entry C
## Ac2ZnCd (GGA-PBE)

Data for a relaxed structure of Ac2ZnCd.

Lattice parameters (Å, degrees): 11.9557 11.9557 11.9557 18.49 18.49 18.49
Sites, in units of the cell vectors:
Ac1 0.0999 0.0999 0.0999
Ac2 0.9001 0.9001 0.9001
Zn1 0.5000 0.5000 0.5000
Cd1 0.0000 0.0000 0.0000

***

Which structure is the most stable? The one labeled entry B.

***

Entry A
## Ac3Zn4Cd4 (GGA-PBE)

Data for a relaxed structure of Ac3Zn4Cd4.

Lattice parameters (Å, degrees): 4.2611 4.7330 14.7875 99.11 98.23 90.17
Sites, in units of the cell vectors:
Ac1 0.0000 0.0000 0.0000
Ac2 0.1488 0.6488 0.2955
Ac3 0.8512 0.3512 0.7045
Zn1 0.3092 0.8080 0.6192
Zn2 0.4518 0.4532 0.9085
Zn3 0.5482 0.5468 0.0915
Zn4 0.6908 0.1920 0.3808
Cd1 0.2518 0.2514 0.5042
Cd2 0.4042 0.9035 0.8093
Cd3 0.5958 0.0965 0.1907
Cd4 0.7482 0.7486 0.4958

***

Entry B
## Ac3Zn4Cd4 (GGA-PBE)

Data for a relaxed structure of Ac3Zn4Cd4.

Lattice parameters (Å, degrees): 9.0011 9.0011 9.0011 149.43 129.40 60.28
Sites, in units of the cell vectors:
Ac1 0.0000 0.0000 0.0000
Ac2 0.3711 0.8711 0.5000
Ac3 0.6289 0.1289 0.5000
Zn1 0.2196 0.2196 0.0000
Zn2 0.3273 0.5000 0.8273
Zn3 0.6727 0.5000 0.1727
Zn4 0.7804 0.7804 0.0000
Cd1 0.0241 0.3325 0.6916
Cd2 0.3591 0.6675 0.6916
Cd3 0.6409 0.3325 0.3084
Cd4 0.9759 0.6675 0.3084

***

Which structure is the most stable? The one labeled entry A.

***

Entry A
## AcZnCd3 (GGA-PBE)

Data for a relaxed structure of AcZnCd3.

Lattice parameters (Å, degrees): 9.0860 4.6741 12.0414 90.00 90.00 90.00
Sites, in units of the cell vectors:
Ac1 0.1933 0.2500 0.0034
Ac2 0.3067 0.7500 0.5034
Ac3 0.6933 0.2500 0.4966
Ac4 0.8067 0.7500 0.9966
Zn1 0.1082 0.2500 0.6293
Zn2 0.3918 0.7500 0.1293
Zn3 0.6082 0.2500 0.8707
Zn4 0.8918 0.7500 0.3707
Cd1 0.0696 0.2500 0.3966
Cd2 0.1109 0.7500 0.2129
Cd3 0.1291 0.7500 0.7938
Cd4 0.3709 0.2500 0.2938
Cd5 0.3891 0.2500 0.7129
Cd6 0.4304 0.7500 0.8966
Cd7 0.5696 0.2500 0.1034
Cd8 0.6109 0.7500 0.2871
Cd9 0.6291 0.7500 0.7062
Cd10 0.8709 0.2500 0.2062
Cd11 0.8891 0.2500 0.7871
Cd12 0.9304 0.7500 0.6034

***

Entry B
## AcZnCd3 (GGA-PBE)

Data for a relaxed structure of AcZnCd3.

Lattice parameters (Å, degrees): 6.6049 6.6049 6.6348 90.00 90.00 117.67
Sites, in units of the cell vectors:
Ac1 0.2356 0.7644 0.7500
Ac2 0.7644 0.2356 0.2500
Zn1 0.3549 0.6451 0.2500
Zn2 0.6451 0.3549 0.7500
Cd1 0.1232 0.8768 0.2500
Cd2 0.2817 0.2817 0.0000
Cd3 0.2817 0.2817 0.5000
Cd4 0.7183 0.7183 0.0000
Cd5 0.7183 0.7183 0.5000
Cd6 0.8768 0.1232 0.7500

***

Which structure is the most stable? The one labeled entry B.

***

Entry A
## Ac4ZnCd (GGA-PBE)

Data for a relaxed structure of Ac4ZnCd.

Lattice parameters (Å, degrees): 3.9990 3.9990 13.7225 90.00 90.00 90.00
Sites, in units of the cell vectors:
Ac1 0.0000 0.0000 0.1381
Ac2 0.0000 0.0000 0.8619
Ac3 0.5000 0.5000 0.3487
Ac4 0.5000 0.5000 0.6513
Zn1 0.5000 0.5000 0.0000
Cd1 0.0000 0.0000 0.5000

***

Entry B
## Ac4ZnCd (GGA-PBE)

Data for a relaxed structure of Ac4ZnCd.

Lattice parameters (Å, degrees): 5.5145 5.5145 7.8604 90.00 90.00 90.00
Sites, in units of the cell vectors:
Ac1 0.0000 0.5000 0.2401
Ac2 0.0000 0.5000 0.7599
Ac3 0.5000 0.0000 0.2401
Ac4 0.5000 0.0000 0.7599
Zn1 0.0000 0.0000 0.0000
Cd1 0.5000 0.5000 0.5000

***

Which structure is the most stable? The one labeled entry A.